VASP calculation (PBE with a Hubbard U) on a relaxed structure of Ni2HgF6.

Calculated values
Crystal system: trigonal
Fermi-level density of states in states/eV/cell: 0.00
VASP energy in eV/f.u.: -34.0

Cell lengths 5.3180, 5.3180, 4.9211 Å; angles 90.00, 90.00, 120.00 degrees
Space group P-31m (No. 162)
Asymmetric unit:
Ni  0.3333  0.6667  0.0000 (multiplicity 2)
Hg  0.0000  0.0000  0.5000 (multiplicity 1)
F  0.0000  0.3592  0.2215 (multiplicity 6)